(1)
Density functional theory data (PBE-GGA) for a relaxed BaCa2Pd crystal.

Output
Offset from the most stable computed form ... 0 meV/atom
Fermi-level density of states ... 0.55 states/eV per atom
E_form ... -389 meV per atom

Unit cell a=4.3570 b=7.0347 c=9.8194 alpha=90.00 beta=90.00 gamma=107.98
Closest atoms and distances in Å follow each position.
Positions (direct):
Ca1 0.6560 0.3115 0.0680  3 Pd 3.06-3.40
Ba1 0.0697 0.1392 0.7500  2 Pd 3.31
Ca2 0.6560 0.3115 0.4320  3 Pd 3.06-3.40
Ba2 0.9303 0.8608 0.2500  2 Pd 3.31
Ca3 0.3440 0.6885 0.9320  3 Pd 3.06-3.40
Pd1 0.7560 0.5119 0.7500  6 Ca 3.06-3.40, 2 Ba 3.31
Ca4 0.3440 0.6885 0.5680  3 Pd 3.06-3.40
Pd2 0.2440 0.4881 0.2500  6 Ca 3.06-3.40, 2 Ba 3.31

=====

(2)
Density functional theory data (PBE-GGA) for a relaxed Pm3ZrSe6 crystal.

Output
Formation energy from raw total energies ... -1.634 eV per atom
Fermi-level density of states ... 0.48 states/eV per atom

Unit cell a=7.0482 b=9.1143 c=9.1143 alpha=101.95 beta=90.00 gamma=90.00
Closest atoms and distances in Å follow each position.
Positions (direct):
Se1 0.6555 0.2253 0.7747  1 Zr 2.59
Se2 0.7016 0.5636 0.0997  1 Zr 2.55
Se3 0.2016 0.4364 0.9003  1 Zr 2.55
Se4 0.6852 0.3043 0.3698  4 Pm 2.91-2.96
Pm1 0.4833 0.2737 0.0847  7 Se 2.91-3.16
Pm2 0.8890 0.5938 0.4062  7 Se 2.93-3.18
Se5 0.1852 0.3698 0.3043  4 Pm 2.91-2.96
Se6 0.6828 0.9722 0.0278  1 Zr 2.63
Zr1 0.5178 0.8057 0.1943  4 Se 2.55-2.63
Se7 0.1555 0.7747 0.2253  1 Zr 2.59
Pm3 0.3890 0.4062 0.5938  7 Se 2.93-3.18
Pm4 0.9833 0.7263 0.9153  7 Se 2.91-3.16
Se8 0.2016 0.0997 0.5636  1 Zr 2.55
Se9 0.1828 0.0278 0.9722  1 Zr 2.63
Se10 0.7016 0.9003 0.4364  1 Zr 2.55
Pm5 0.9833 0.0847 0.2737  7 Se 2.91-3.16
Zr2 0.0178 0.1943 0.8057  4 Se 2.55-2.63
Se11 0.6852 0.6302 0.6957  4 Pm 2.91-2.96
Pm6 0.4833 0.9153 0.7263  7 Se 2.91-3.16
Se12 0.1852 0.6957 0.6302  4 Pm 2.91-2.96

=====

(3)
Density functional theory data (PBE-GGA) for a relaxed AcNd2Cd9 crystal.

Output
Fermi-level density of states ... 0.82 states/eV per atom
E_form ... -272 meV per atom

Unit cell a=6.0941 b=6.0941 c=10.2547 alpha=72.71 beta=72.71 gamma=60.00
Closest atoms and distances in Å follow each position.
Positions (direct):
Cd1 0.5000 0.5000 0.5000  6 Cd 2.97
Nd1 0.1422 0.1422 0.5734  12 Cd 3.46-3.59, 3 Nd 3.79
Ac1 0.0000 0.0000 0.0000  18 Cd 3.52-3.92
Cd2 0.5892 0.5892 0.7446  7 Cd 2.97-3.12
Cd3 0.9230 0.4108 0.2554  7 Cd 2.97-3.12
Cd4 0.0770 0.5892 0.7446  7 Cd 2.97-3.12
Nd2 0.8578 0.8578 0.4266  12 Cd 3.46-3.59, 3 Nd 3.79
Cd5 0.4108 0.4108 0.2554  7 Cd 2.97-3.12
Cd6 0.5892 0.0770 0.7446  7 Cd 2.97-3.12
Cd7 0.6646 0.6646 0.0063  6 Cd 3.00-3.05
Cd8 0.4108 0.9230 0.2554  7 Cd 2.97-3.12
Cd9 0.3354 0.3354 0.9937  6 Cd 3.00-3.05